No. 1
Crystalline RbSeS2Cl at its relaxed geometry. Source: Alexandria via LeMat-Bulk, functional PBE-GGA.

The total energy is -9.8 eV/cell. As for the uncorrected formation energy: 4.77 eV per formula unit. As for the energy above the most stable polymorph in this dataset: 1267 meV per atom. Its magnetic moment is 6.0 μB/f.u.

The space group is P4/mmm (No. 123) and the conventional cell measures 6.5011, 6.5011 and 6.1652 Å, with angles of 90.00, 90.00 and 90.00 degrees. The distinct sites, in fractional coordinates, are Rb at (0.0000, 0.0000, 0.0000), Se at (0.5000, 0.5000, 0.5000), S at (0.0000, 0.5000, 0.0000) and Cl at (0.0000, 0.0000, 0.5000).

No. 2
Crystalline RbSeS2Cl at its relaxed geometry. Source: Alexandria via LeMat-Bulk, functional PBE-GGA.

The total energy is -16.1 eV/cell. As for the uncorrected formation energy: -1.56 eV per formula unit. As for the energy above the most stable polymorph in this dataset: 0 meV per atom. Its magnetic moment is 0.0 μB/f.u.

The space group is P4/mmm (No. 123) and the conventional cell measures 4.8942, 4.8942 and 5.5182 Å, with angles of 90.00, 90.00 and 90.00 degrees. The distinct sites, in fractional coordinates, are Rb at (0.0000, 0.0000, 0.0000), Se at (0.5000, 0.5000, 0.5000), S at (0.0000, 0.5000, 0.5000) and Cl at (0.5000, 0.5000, 0.0000).

| no. | density of states at the Fermi level (states/eV per cell) |
| --- | --- |
| 1 | 6.46 |
| 2 | 1.52 |